1.
This record from Alexandria via LeMat-Bulk describes a relaxed structure of Ba2LaGeI. The functional is GGA-PBE.

Values from the calculation:
Raw formation energy = -0.020 eV/atom

Unit cell a=6.8695 b=6.8695 c=5.3566 alpha=90.00 beta=90.00 gamma=90.00
Last column: nearest neighbours and their distance in Å.
Space group P4/mmm (No. 123)
Inequivalent atoms, fractional coordinates:
Ba: 0.0000 0.5000 0.0000  2 La 3.43
La: 0.0000 0.0000 0.0000  2 Ge 2.68
Ge: 0.0000 0.0000 0.5000  2 La 2.68
I: 0.5000 0.5000 0.5000  8 Ba 4.36, 4 Ge 4.86



2.
This record from Alexandria via LeMat-Bulk describes a relaxed structure of Cd5S2O2. The functional is GGA-PBE.

Values from the calculation:
Raw formation energy = -0.568 eV/atom

Unit cell a=15.2430 b=4.0532 c=7.0639 alpha=90.00 beta=92.83 gamma=90.00
Last column: nearest neighbours and their distance in Å.
Space group C2/m (No. 12)
Inequivalent atoms, fractional coordinates:
Cd: 0.0000 0.0000 0.0000  2 O 2.82
Cd: 0.1662 0.5000 0.0481  3 O 2.26-2.38
Cd: 0.1763 0.0000 0.5987  1 O 2.20
S: 0.1353 0.5000 0.4036  3 Cd 2.51-2.58
O: 0.1781 0.0000 0.9097  4 Cd 2.20-2.38



3.
This record from Alexandria via LeMat-Bulk describes a relaxed structure of TbNdTmTl. The functional is GGA-PBE.

Values from the calculation:
Energy above the most stable polymorph in this dataset = 0.000 eV per atom
Energy of formation = -0.18 eV/atom

Unit cell a=4.8322 b=4.8828 c=4.9476 alpha=90.00 beta=90.00 gamma=90.00
Last column: nearest neighbours and their distance in Å.
Space group Pmmm (No. 47)
Inequivalent atoms, fractional coordinates:
Tb: 0.0000 0.0000 0.0000  4 Nd 3.43, 4 Tl 3.46, 4 Tm 3.48
Nd: 0.5000 0.5000 0.0000  4 Tb 3.43, 4 Tm 3.46, 4 Tl 3.48
Tm: 0.0000 0.5000 0.5000  4 Tl 3.43, 4 Nd 3.46, 4 Tb 3.48
Tl: 0.5000 0.0000 0.5000  4 Tm 3.43, 4 Tb 3.46, 4 Nd 3.48



4.
This record from Alexandria via LeMat-Bulk describes a relaxed structure of CsVIn2Cl8. The functional is GGA-PBE.

Values from the calculation:
Raw formation energy = -1.171 eV/atom

Unit cell a=6.7836 b=6.7836 c=27.5530 alpha=90.00 beta=90.00 gamma=120.00
Last column: nearest neighbours and their distance in Å.
Space group R-3 (No. 148, hexagonal axes)
Inequivalent atoms, fractional coordinates:
Cs: 0.0000 0.0000 0.0000  12 Cl 3.93-3.99
V: 0.0000 0.0000 0.5000  6 Cl 2.39
In: 0.0000 0.0000 0.2156  4 Cl 2.48-2.69
Cl: 0.0000 0.0000 0.3058  1 In 2.48
Cl: 0.0172 0.4045 0.2148  1 V 2.39



5.
This record from Alexandria via LeMat-Bulk describes a relaxed structure of Ac2Cd15In2. The functional is GGA-PBE.

Values from the calculation:
Energy of formation = -0.18 eV/atom

Unit cell a=10.4049 b=10.4049 c=14.8945 alpha=90.00 beta=90.00 gamma=120.00
Last column: nearest neighbours and their distance in Å.
Space group R-3m (No. 166, hexagonal axes)
Inequivalent atoms, fractional coordinates:
Ac: 0.0000 0.0000 0.1659  1 In 3.49, 15 Cd 3.62-3.90
Cd: 0.0000 0.3051 0.5000  8 Cd 2.96-3.17
Cd: 0.0000 0.5000 0.0000  8 Cd 2.96-3.08, 2 In 3.16
Cd: 0.0141 0.5071 0.6524  8 Cd 2.91-3.15
In: 0.0000 0.0000 0.4002  1 In 2.97, 3 Cd 3.16



6.
This record from Alexandria via LeMat-Bulk describes a relaxed structure of Dy4Cd3Cu. The functional is GGA-PBE.

Values from the calculation:
Energy of formation = -0.29 eV/atom

Unit cell a=3.6209 b=3.6209 c=15.1825 alpha=90.00 beta=90.00 gamma=90.00
Last column: nearest neighbours and their distance in Å.
Space group P4/mmm (No. 123)
Inequivalent atoms, fractional coordinates:
Dy: 0.0000 0.0000 0.1090  4 Cu 3.05, 4 Cd 3.26, 1 Dy 3.31
Dy: 0.0000 0.0000 0.3702  8 Cd 3.22-3.23
Cd: 0.5000 0.5000 0.2418  8 Dy 3.22-3.26
Cd: 0.5000 0.5000 0.5000  8 Dy 3.23
Cu: 0.5000 0.5000 0.0000  8 Dy 3.05



7.
This record from Alexandria via LeMat-Bulk describes a relaxed structure of Pr8Nd3Tm4. The functional is GGA-PBE.

Values from the calculation:
Energy of formation = 0.32 eV/atom

Unit cell a=13.8647 b=12.3876 c=6.9156 alpha=90.00 beta=117.72 gamma=90.00
Last column: nearest neighbours and their distance in Å.
Space group C2/m (No. 12)
Inequivalent atoms, fractional coordinates:
Pr: 0.0000 0.2072 0.0000  2 Nd 3.51, 4 Pr 3.51-3.59, 3 Tm 3.62-3.63
Pr: 0.0000 0.2545 0.5000  1 Tm 3.04, 1 Nd 3.15
Pr: 0.2041 0.0000 0.1669  4 Pr 3.36-3.68, 2 Nd 3.47, 3 Tm 3.65-3.73
Pr: 0.2419 0.5000 0.3062  3 Tm 3.02-3.36, 1 Nd 3.18, 1 Pr 3.36
Nd: 0.0000 0.0000 0.5000  4 Pr 3.15-3.18
Nd: 0.2500 0.2500 0.0000  2 Tm 3.46, 8 Pr 3.47-3.78
Tm: 0.0000 0.5000 0.0000  2 Pr 3.02
Tm: 0.0000 0.5000 0.5000  2 Pr 3.04
Tm: 0.2500 0.2500 0.5000  8 Pr 3.36-3.73, 2 Nd 3.46



8.
This record from Alexandria via LeMat-Bulk describes a relaxed structure of TiCrBS2. The functional is GGA-PBE.

Values from the calculation:
Raw formation energy = 1.315 eV/atom

Unit cell a=4.6114 b=4.6114 c=4.5261 alpha=90.00 beta=90.00 gamma=90.00
Last column: nearest neighbours and their distance in Å.
Space group P4/mmm (No. 123)
Inequivalent atoms, fractional coordinates:
Ti: 0.0000 0.0000 0.0000  2 Cr 2.26, 4 S 2.31
Cr: 0.0000 0.0000 0.5000  2 Ti 2.26
B: 0.5000 0.5000 0.5000  8 S 3.23, 4 Cr 3.26
S: 0.0000 0.5000 0.0000  2 Ti 2.31



Number 1: raw total energy -3.01 eV per atom. Number 2: raw total energy -3.10 eV per atom. Number 3: raw total energy -4.24 eV per atom. Number 4: raw total energy -3.69 eV per atom. Number 5: raw total energy -1.63 eV per atom. Number 6: raw total energy -3.45 eV per atom. Number 7: raw total energy -4.37 eV per atom. Number 8: raw total energy -5.17 eV per atom.